A relaxed Tm3SnRu2 crystal, computed with PBE.

It has space group P4/mmm (No. 123), with a = 3.4155 Å, b = 3.4155 Å, c = 10.9361 Å, α = 90.00°, β = 90.00° and γ = 90.00°. The asymmetric unit holds Tm at (0.0000, 0.0000, 0.0000), Tm at (0.0000, 0.0000, 0.2982), Sn at (0.5000, 0.5000, 0.5000) and Ru at (0.5000, 0.5000, 0.1564).

The value obtained for the total moment is 0.0 μB per formula unit. The calculation puts the energy relative to the elements at -543 meV per atom.